Entry from the Alexandria database: LaCdRu2 after structural relaxation (PBE-GGA).

- energy of formation (kJ per mole of atoms) = 35
- DOS at the Fermi energy (states/eV per atom) = 0.997

abc: 3.099 3.099 8.689
angles: 90.00 90.00 114.90
Atoms (fractional coordinates):
La1 0.500 0.500 0.750
Ru1 0.000 0.000 0.994
Ru2 0.000 0.000 0.506
Cd1 0.500 0.500 0.250